Computed, not measured: a relaxed structure of AlRuO2F at the PBE-GGA level of DFT.

Values from the calculation:
As for the density of states at the Fermi level: 2.3 states/eV/cell. Its energy relative to the elements, uncorrected is -71.2 kJ per mole of atoms. The total magnetization is 0.21 μB/atom.

a = 3.8605 Å, b = 3.8605 Å, c = 4.4543 Å
α = 90.00°, β = 90.00°, γ = 90.00°
Last column: nearest neighbours and their distance in Å.
Space group P4/mmm (No. 123)
Unique sites:
Al 0.0000 0.0000 0.0000 (multiplicity 1)  4 F 2.73, 8 O 2.95
Ru 0.5000 0.5000 0.5000 (multiplicity 1)  4 O 1.93
O 0.0000 0.5000 0.5000 (multiplicity 2)  2 Ru 1.93
F 0.5000 0.5000 0.0000 (multiplicity 1)  2 Ru 2.23

=====

Computed, not measured: a relaxed structure of PmGa3Co3 at the PBE-GGA level of DFT.

Values from the calculation:
The calculation puts the offset from the most stable computed form at 0.0000 eV/atom. As for the density of states at the Fermi level: 16.0 states/eV/cell. The total magnetization is 0.30 μB/atom. The energy of formation from the pure elements is -176 meV/atom.

a = 8.0641 Å, b = 8.0641 Å, c = 4.1564 Å
α = 90.00°, β = 90.00°, γ = 120.00°
Last column: nearest neighbours and their distance in Å.
Space group P6_3/m (No. 176)
Unique sites:
Pm 0.3333 0.6667 0.2500 (multiplicity 2)  9 Ga 3.04-3.11, 3 Co 3.33
Ga 0.0727 0.3779 0.7500 (multiplicity 6)  4 Co 2.42-2.48
Co 0.0379 0.1956 0.2500 (multiplicity 6)  4 Ga 2.42-2.48, 6 Co 2.51-2.53

=====

Computed, not measured: a relaxed structure of NaIn4Cu at the PBE-GGA level of DFT.

Values from the calculation:
As for the density of states at the Fermi level: 5.3 states/eV/cell. The total magnetization is 0.00 μB/atom. The energy of formation from the pure elements is -68 meV/atom.

a = 4.5114 Å, b = 16.7943 Å, c = 7.6579 Å
α = 90.00°, β = 90.00°, γ = 90.00°
Last column: nearest neighbours and their distance in Å.
Space group Cmcm (No. 63)
Unique sites:
Na 0.0000 0.1280 0.2500 (multiplicity 4)  7 In 3.26-3.50, 2 Cu 3.32
In 0.0000 0.0662 0.7500 (multiplicity 4)  1 Cu 2.71
In 0.0000 0.3150 0.0480 (multiplicity 8)  3 Cu 2.72-2.83
In 0.0000 0.5000 0.0000 (multiplicity 4)  6 In 3.13-3.16
Cu 0.0000 0.2272 0.7500 (multiplicity 4)  7 In 2.71-2.83